Density functional theory data (PBE-GGA) for crystalline Na2Zn3Ag4 at its relaxed geometry.

```
data_Na2Zn3Ag4
_cell_length_a 5.2518
_cell_length_b 9.3380
_cell_length_c 13.8188
_cell_angle_alpha 90.00
_cell_angle_beta 90.00
_cell_angle_gamma 90.00
_symmetry_space_group_name_H-M 'F m m m'
_symmetry_Int_Tables_number 69
_symmetry_space_group_name_Hall '-F 2 2'
loop_
_atom_site_label
_atom_site_fract_x
_atom_site_fract_y
_atom_site_fract_z
Na1 0.0000 0.0000 0.1351
Zn1 0.0000 0.0000 0.5000
Zn2 0.2500 0.2500 0.0000
Ag1 0.0000 0.1649 0.3328
```

Computed properties:
Total DFT energy (no corrections) = -72.86 eV/cell
Energy of formation = -0.039 eV per atom

=====

Density functional theory data (PBE-GGA) for crystalline Tb12Ga6Co at its relaxed geometry.

```
data_Tb12Ga6Co
_cell_length_a 12.7252
_cell_length_b 12.7252
_cell_length_c 11.9407
_cell_angle_alpha 90.00
_cell_angle_beta 90.00
_cell_angle_gamma 120.00
_symmetry_space_group_name_H-M 'R -3'
_symmetry_Int_Tables_number 148
_symmetry_space_group_name_Hall '-R 3'
loop_
_atom_site_label
_atom_site_fract_x
_atom_site_fract_y
_atom_site_fract_z
Tb1 0.0367 0.8248 0.3948
Tb2 0.0496 0.8531 0.8843
Ga1 0.0528 0.7801 0.6464
Co1 0.0000 0.0000 0.0000
```

Computed properties:
Total DFT energy (no corrections) = -253.90 eV/cell
Energy of formation = -0.200 eV per atom

=====

Density functional theory data (PBE-GGA) for crystalline YMg2BeSe at its relaxed geometry.

```
data_YMg2BeSe
_cell_length_a 4.9209
_cell_length_b 4.9209
_cell_length_c 5.3723
_cell_angle_alpha 90.00
_cell_angle_beta 90.00
_cell_angle_gamma 90.00
_symmetry_space_group_name_H-M 'P 4/m m m'
_symmetry_Int_Tables_number 123
_symmetry_space_group_name_Hall '-P 4 2'
loop_
_atom_site_label
_atom_site_fract_x
_atom_site_fract_y
_atom_site_fract_z
Y1 0.0000 0.0000 0.0000
Mg1 0.0000 0.5000 0.5000
Be1 0.5000 0.5000 0.0000
Se1 0.0000 0.0000 0.5000
```

Computed properties:
Total DFT energy (no corrections) = -15.88 eV/cell
Energy relative to the elements, uncorrected = 0.197 eV/atom

=====

Density functional theory data (PBE-GGA) for crystalline ScTaRu at its relaxed geometry.

```
data_ScTaRu
_cell_length_a 3.1344
_cell_length_b 3.1344
_cell_length_c 23.6535
_cell_angle_alpha 90.00
_cell_angle_beta 90.00
_cell_angle_gamma 90.00
_symmetry_space_group_name_H-M 'I 4/m m m'
_symmetry_Int_Tables_number 139
_symmetry_space_group_name_Hall '-I 4 2'
loop_
_atom_site_label
_atom_site_fract_x
_atom_site_fract_y
_atom_site_fract_z
Sc1 0.0000 0.0000 0.0729
Ta1 0.0000 0.0000 0.2106
Ru1 0.0000 0.0000 0.3551
```

Computed properties:
Total DFT energy (no corrections) = -114.20 eV/cell
Distance to the lowest polymorph of the same formula = 42 meV per atom
Energy of formation = -0.363 eV per atom

=====

Density functional theory data (PBE-GGA) for crystalline LiSb2Se at its relaxed geometry.

```
data_LiSb2Se
_cell_length_a 3.4463
_cell_length_b 3.4463
_cell_length_c 7.7591
_cell_angle_alpha 90.00
_cell_angle_beta 90.00
_cell_angle_gamma 90.00
_symmetry_space_group_name_H-M 'P 4 m m'
_symmetry_Int_Tables_number 99
loop_
_symmetry_equiv_pos_as_xyz
'x,y,z'
'-y,x,z'
'-x,-y,z'
'y,-x,z'
'-x,y,z'
'y,x,z'
'x,-y,z'
'-y,-x,z'
loop_
_atom_site_label
_atom_site_fract_x
_atom_site_fract_y
_atom_site_fract_z
Li1 0.0000 0.0000 0.0000
Sb1 0.0000 0.0000 0.5949
Sb2 0.5000 0.5000 0.2816
Se1 0.5000 0.5000 0.8297
```

Computed properties:
Total DFT energy (no corrections) = -14.26 eV/cell
Energy relative to the elements, uncorrected = -0.154 eV/atom

=====

Density functional theory data (PBE-GGA) for crystalline PmTcB at its relaxed geometry.

```
data_PmTcB
_cell_length_a 3.4177
_cell_length_b 17.3031
_cell_length_c 3.9385
_cell_angle_alpha 90.00
_cell_angle_beta 90.00
_cell_angle_gamma 90.00
_symmetry_space_group_name_H-M 'C m c m'
_symmetry_Int_Tables_number 63
_symmetry_space_group_name_Hall '-C 2c 2'
loop_
_atom_site_label
_atom_site_fract_x
_atom_site_fract_y
_atom_site_fract_z
Pm1 0.0000 0.0984 0.2500
Tc1 0.0000 0.2558 0.7500
B1 0.0000 0.3257 0.2500
```

Computed properties:
Total DFT energy (no corrections) = -88.81 eV/cell
Distance to the lowest polymorph of the same formula = 0 meV per atom
Energy of formation = -0.136 eV per atom

=====

- What is the formula in the second record?
  Tb12Ga6Co